(1)
PBE Y4RuPb, optimized geometry; E above lowest polymorph = 983.9 meV per atom; space-group type = F-43m; total energy = -5.897 eV/atom; crystal system = cubic; formation enthalpy at 0 K = 577 meV per atom
1.0
0.0000 4.3137 4.3137
4.3137 0.0000 4.3137
4.3137 4.3137 0.0000
Ru Y Pb
1 4 1
Cartesian
0.0000 0.0000 0.0000
5.4026 5.4026 3.2248
5.4026 3.2248 5.4026
3.2248 3.2248 3.2248
3.2248 5.4026 5.4026
6.4705 6.4705 6.4705



(2)
PBE Y3RuPb, optimized geometry; E above lowest polymorph = 11.8 meV per atom; space-group type = C2/c; total energy = -6.875 eV/atom; crystal system = monoclinic; formation enthalpy at 0 K = -400 meV per atom
1.0
6.1155 0.0000 0.0232
-3.0571 8.1277 -0.0139
-2.7821 0.0011 5.4823
Y Pb Ru
6 2 2
Cartesian
-1.7438 2.9510 5.2380
4.1600 2.9498 1.5391
-0.4581 7.2446 0.6344
-0.3523 0.1665 2.4982
1.2090 3.9996 3.3892
2.7695 0.1667 4.2816
-1.8459 5.5781 3.3746
2.5965 5.6663 0.6474
1.9040 1.5582 2.0186
0.5129 1.5588 4.7597



(3)
PBE Y3RuPb, optimized geometry; E above lowest polymorph = 0.0 meV per atom; space-group type = P2_1/c; total energy = -6.887 eV/atom; crystal system = monoclinic; formation enthalpy at 0 K = -412 meV per atom
1.0
-9.1093 17.8712 8.2437
-4.3846 0.3388 -5.5795
0.6239 -8.0370 -0.9783
Ru Y Pb
4 12 4
Cartesian
-4.7140 5.2959 2.2195
-3.4723 -0.0740 -3.6052
-8.1559 4.8772 -0.5337
-9.3977 10.2470 5.2910
-5.7144 3.5766 0.2299
-4.4376 -6.1916 -5.8894
-5.5884 -1.9229 -3.3061
-9.6827 10.9715 2.2877
-8.4323 16.3646 7.5753
-3.1873 -0.7985 -0.6019
-7.1555 6.5964 1.4559
-10.6662 15.8493 4.8118
-7.9824 3.0639 -2.5769
-4.8876 7.1091 4.2628
-2.2038 -5.6763 -3.1259
-7.2815 12.0959 4.9919
-11.0567 13.9248 2.2781
-7.1375 9.2377 3.4364
-5.7324 0.9354 -1.7505
-1.8132 -3.7518 -0.5922



(4)
PBE Y3RuPb, optimized geometry; E above lowest polymorph = 64.2 meV per atom; space-group type = C2/c; total energy = -6.823 eV/atom; crystal system = monoclinic; formation enthalpy at 0 K = -348 meV per atom
1.0
11.0237 0.0000 -0.0592
4.5367 6.8503 -3.5220
-4.5367 6.8503 3.5220
Ru Pb Y
4 4 12
Cartesian
9.5787 9.2816 -0.5095
4.0668 11.2693 -0.4799
6.9569 2.4313 0.4207
1.4450 4.4190 0.4503
5.0243 6.8837 -1.7758
10.5361 4.6846 -1.8054
5.9995 6.8169 1.7166
0.4876 9.0160 1.7462
6.6337 9.5366 -0.7866
1.1218 11.0143 -0.7570
9.9019 2.6863 0.6978
7.2772 4.7665 -0.9953
4.3900 4.1640 0.7274
12.1232 7.4876 -1.1648
9.2585 11.6168 0.9065
2.0746 6.2130 2.3869
8.9491 7.4876 -2.4461
3.7466 8.9341 0.9361
1.7653 2.0838 -0.9657
-1.0994 6.2130 1.1056